## BaGePbS4 (PBE)

Data for BaGePbS4 after structural relaxation.

## Properties
* formation energy from raw total energies: -959.8 meV per atom
* magnetization: 0.000 μB/atom

Structure (POSCAR):
```
BaGePbS4
1.0
6.9282 0.0000 0.0000
0.0000 6.8169 0.0000
-2.7382 0.0000 8.1690
Ba Ge Pb S
2 2 2 8
Direct
0.2261 0.2500 0.4358
0.7739 0.7500 0.5642
0.2771 0.7500 0.1940
0.7229 0.2500 0.8060
0.2657 0.2500 0.9597
0.7343 0.7500 0.0403
0.0862 0.7500 0.3605
0.0861 0.7500 0.9314
0.4863 0.0061 0.2493
0.4863 0.4939 0.2493
0.5137 0.5061 0.7507
0.5137 0.9939 0.7507
0.9139 0.2500 0.0686
0.9138 0.2500 0.6395
```

***

## BaGePb2Se (PBE)

Data for BaGePb2Se after structural relaxation.

## Properties
* formation energy from raw total energies: 1094.0 meV per atom
* magnetization: 0.046 μB/atom

Structure (POSCAR):
```
BaGePb2Se
1.0
6.4496 0.0000 0.0000
0.0000 6.4496 0.0000
0.0000 0.0000 5.6394
Ba Ge Pb Se
1 1 2 1
Direct
0.0000 0.0000 0.0000
0.0000 0.0000 0.5000
0.0000 0.5000 0.0000
0.5000 0.0000 0.0000
0.5000 0.5000 0.5000
```

***

## Ba2GePbSe5 (PBE)

Data for Ba2GePbSe5 after structural relaxation.

## Properties
* formation energy from raw total energies: -1133.5 meV per atom
* magnetization: 0.000 μB/atom

Structure (POSCAR):
```
Ba2GePbSe5
1.0
2.1646 -9.7136 0.0000
2.1646 9.7136 0.0000
0.0000 0.0000 13.6745
Ba Ge Pb Se
4 2 2 10
Direct
0.1228 0.8772 0.5000
0.1255 0.8745 0.1521
0.8745 0.1255 0.6521
0.8772 0.1228 0.0000
0.4446 0.5554 0.2294
0.5554 0.4446 0.7294
0.2033 0.7967 0.8587
0.7967 0.2033 0.3587
0.0227 0.9773 0.8197
0.2926 0.7074 0.5072
0.3261 0.6739 0.1862
0.3483 0.6517 0.8279
0.4961 0.5039 0.5775
0.5039 0.4961 0.0775
0.6517 0.3483 0.3279
0.6739 0.3261 0.6862
0.7074 0.2926 0.0072
0.9773 0.0227 0.3197
```

***

## Ba2SnGePb (PBE)

Data for Ba2SnGePb after structural relaxation.

## Properties
* magnetization: 0.237 μB/atom
* energy of formation: 0.24 eV per atom

Structure (POSCAR):
```
Ba2SnGePb
1.0
6.6783 0.0000 0.0000
0.0000 6.6783 0.0000
0.0000 0.0000 5.5244
Ba Sn Ge Pb
2 1 1 1
Direct
0.0000 0.5000 0.0000
0.5000 0.0000 0.0000
0.0000 0.0000 0.5000
0.5000 0.5000 0.5000
0.0000 0.0000 0.0000
```

***

## BaTlGePb (PBE)

Data for BaTlGePb after structural relaxation.

## Properties
* magnetization: 0.000 μB/atom
* energy of formation: -0.18 eV per atom

Structure (POSCAR):
```
BaTlGePb
1.0
0.0000 3.9849 3.9849
3.9849 0.0000 3.9849
3.9849 3.9849 0.0000
Ba Tl Ge Pb
1 1 1 1
Direct
0.0000 0.0000 0.0000
0.2500 0.2500 0.2500
0.7500 0.7500 0.7500
0.5000 0.5000 0.5000
```

***

## BaYGe2Pb (PBE)

Data for BaYGe2Pb after structural relaxation.

## Properties
* magnetization: 0.000 μB/atom
* energy of formation: 1.10 eV per atom

Structure (POSCAR):
```
BaYGe2Pb
1.0
5.6744 0.0000 0.0000
0.0000 5.6744 0.0000
0.0000 0.0000 5.9195
Ba Y Ge Pb
1 1 2 1
Direct
0.0000 0.0000 0.0000
0.0000 0.0000 0.5000
0.0000 0.5000 0.0000
0.5000 0.0000 0.0000
0.5000 0.5000 0.5000
```

***

## Ba2Zn4Ge3Pb (PBE)

Data for Ba2Zn4Ge3Pb after structural relaxation.

## Properties
* magnetization: 0.000 μB/atom
* energy of formation: -0.35 eV per atom

Structure (POSCAR):
```
Ba2Zn4Ge3Pb
1.0
4.6585 0.0000 0.0000
0.0000 4.6585 0.0000
0.0000 0.0000 10.9597
Ba Zn Ge Pb
2 4 3 1
Direct
0.0000 0.5000 0.2349
0.5000 0.0000 0.7651
0.0000 0.0000 0.0000
0.0000 0.5000 0.6448
0.5000 0.0000 0.3552
0.5000 0.5000 0.0000
0.0000 0.5000 0.8787
0.5000 0.0000 0.1213
0.5000 0.5000 0.5000
0.0000 0.0000 0.5000
```

***

## Ba2Ge5Pd3 (PBE)

Data for Ba2Ge5Pd3 after structural relaxation.

## Properties
* magnetization: 0.000 μB/atom
* energy of formation: -0.60 eV per atom

Structure (POSCAR):
```
Ba2Ge5Pd3
1.0
-5.2811 6.4509 3.2012
5.2811 -6.4509 3.2012
5.2811 6.4509 -3.2012
Ba Ge Pd
4 10 6
Direct
0.1279 0.2432 0.3712
0.3721 0.7432 0.1153
0.6279 0.2568 0.8847
0.8721 0.7568 0.6288
0.0055 0.7500 0.2555
0.1159 0.6340 0.7499
0.2500 0.2500 0.0000
0.3841 0.1340 0.5181
0.4945 0.7500 0.7445
0.5055 0.2500 0.2555
0.6159 0.8660 0.4819
0.7500 0.7500 0.0000
0.8841 0.3660 0.2501
0.9945 0.2500 0.7445
0.1300 0.8831 0.0132
0.2500 0.7500 0.5000
0.3700 0.3831 0.7531
0.6300 0.6169 0.2469
0.7500 0.2500 0.5000
0.8700 0.1169 0.9868
```

***

## Ba2Ge4Pd5 (PBE)

Data for Ba2Ge4Pd5 after structural relaxation.

## Properties
* magnetization: 0.000 μB/atom
* offset from the most stable computed form: 0.0000 eV/atom
* energy of formation: -0.67 eV per atom

Structure (POSCAR):
```
Ba2Ge4Pd5
1.0
5.5286 -7.1439 0.0000
5.5286 7.1439 0.0000
0.0000 0.0000 6.0372
Ba Ge Pd
4 8 10
Direct
0.1421 0.8579 0.9702
0.3579 0.6421 0.4702
0.6421 0.3579 0.5298
0.8579 0.1421 0.0298
0.0446 0.2932 0.5571
0.2068 0.4554 0.9429
0.2932 0.0446 0.4429
0.4554 0.2068 0.0571
0.5446 0.7932 0.9429
0.7068 0.9554 0.5571
0.7932 0.5446 0.0571
0.9554 0.7068 0.4429
0.0000 0.0000 0.5000
0.0227 0.4773 0.2500
0.2263 0.2737 0.2500
0.2737 0.2263 0.7500
0.4773 0.0227 0.7500
0.5000 0.5000 0.0000
0.5227 0.9773 0.2500
0.7263 0.7737 0.2500
0.7737 0.7263 0.7500
0.9773 0.5227 0.7500
```

***

## Ba2GePd2 (PBE)

Data for Ba2GePd2 after structural relaxation.

## Properties
* magnetization: 0.000 μB/atom
* energy of formation: -0.32 eV per atom

Structure (POSCAR):
```
Ba2GePd2
1.0
-1.9320 1.9320 9.6763
1.9320 -1.9320 9.6763
1.9320 1.9320 -9.6763
Ba Ge Pd
2 1 2
Direct
0.1131 0.1131 0.0000
0.8869 0.8869 0.0000
0.5000 0.5000 0.0000
0.2500 0.7500 0.5000
0.7500 0.2500 0.5000
```

***

## Ba2Ge3Pd5 (PBE)

Data for Ba2Ge3Pd5 after structural relaxation.

## Properties
* magnetization: 0.000 μB/atom
* energy of formation: -0.62 eV per atom

Structure (POSCAR):
```
Ba2Ge3Pd5
1.0
-5.1801 6.6001 3.1653
5.1801 -6.6001 3.1653
5.1801 6.6001 -3.1653
Ba Ge Pd
4 6 10
Direct
0.1318 0.2438 0.3756
0.3682 0.7438 0.1120
0.6318 0.2562 0.8880
0.8682 0.7562 0.6244
0.1195 0.6223 0.7418
0.2500 0.2500 0.0000
0.3805 0.1223 0.5028
0.6195 0.8777 0.4972
0.7500 0.7500 0.0000
0.8805 0.3777 0.2582
0.0190 0.7500 0.2690
0.1156 0.8754 0.9911
0.2500 0.7500 0.5000
0.3844 0.3754 0.7598
0.4810 0.7500 0.7310
0.5190 0.2500 0.2690
0.6156 0.6246 0.2402
0.7500 0.2500 0.5000
0.8844 0.1246 0.0089
0.9810 0.2500 0.7310
```

***

## BaGePd (PBE)

Data for BaGePd after structural relaxation.

## Properties
* magnetization: 0.000 μB/atom
* energy of formation: -0.64 eV per atom

Structure (POSCAR):
```
BaGePd
1.0
2.1942 -3.7593 0.0000
2.1942 3.7593 0.0000
0.0000 0.0000 9.9515
Ba Ge Pd
2 2 2
Direct
0.0000 0.0000 0.0000
0.0000 0.0000 0.5000
0.3337 0.6663 0.7500
0.6663 0.3337 0.2500
0.3320 0.6680 0.2500
0.6680 0.3320 0.7500
```

***

## BaGe3Pd3 (PBE)

Data for BaGe3Pd3 after structural relaxation.

## Properties
* magnetization: 0.000 μB/atom
* offset from the most stable computed form: 0.0266 eV/atom
* energy of formation: -0.43 eV per atom

Structure (POSCAR):
```
BaGe3Pd3
1.0
3.3810 1.9520 7.8688
-3.3810 1.9520 7.8688
0.0000 -3.9040 7.8688
Ba Ge Pd
2 6 6
Direct
0.1668 0.1668 0.1668
0.8332 0.8332 0.8332
0.1755 0.3709 0.6692
0.3308 0.8245 0.6291
0.3709 0.6692 0.1755
0.6291 0.3308 0.8245
0.6692 0.1755 0.3709
0.8245 0.6291 0.3308
0.0606 0.2581 0.5726
0.2581 0.5726 0.0606
0.4274 0.9394 0.7419
0.5726 0.0606 0.2581
0.7419 0.4274 0.9394
0.9394 0.7419 0.4274
```

***

## Ba8GePd2 (PBE)

Data for Ba8GePd2 after structural relaxation.

## Properties
* magnetization: 0.017 μB/atom
* energy of formation: -0.13 eV per atom

Structure (POSCAR):
```
Ba8GePd2
1.0
6.7503 0.0000 0.0000
0.0019 10.2468 0.0000
0.0035 5.1177 8.8851
Ba Ge Pd
8 1 2
Direct
0.2319 0.3333 0.3335
0.2575 0.8375 0.8399
0.2577 0.3226 0.8378
0.2577 0.8398 0.3226
0.7423 0.1602 0.6774
0.7423 0.6774 0.1622
0.7425 0.1625 0.1601
0.7681 0.6667 0.6665
0.5000 0.0000 0.0000
0.2849 0.6667 0.6664
0.7151 0.3333 0.3336
```

***

## BaGePd2 (PBE)

Data for BaGePd2 after structural relaxation.

## Properties
* magnetization: 0.000 μB/atom
* energy of formation: -0.61 eV per atom

Structure (POSCAR):
```
BaGePd2
1.0
7.9844 0.0000 0.0000
0.0000 7.0257 0.0000
0.0000 0.0000 6.3303
Ba Ge Pd
4 4 8
Direct
0.0206 0.2500 0.1394
0.4794 0.7500 0.6394
0.5206 0.2500 0.3606
0.9794 0.7500 0.8606
0.1339 0.7500 0.3550
0.3661 0.2500 0.8550
0.6339 0.7500 0.1450
0.8661 0.2500 0.6450
0.1595 0.0570 0.5923
0.1595 0.4430 0.5923
0.3405 0.5570 0.0923
0.3405 0.9430 0.0923
0.6595 0.0570 0.9077
0.6595 0.4430 0.9077
0.8405 0.5570 0.4077
0.8405 0.9430 0.4077
```

***

## BaGe2Pd8 (PBE)

Data for BaGe2Pd8 after structural relaxation.

## Properties
* magnetization: 0.000 μB/atom
* energy of formation: -0.16 eV per atom

Structure (POSCAR):
```
BaGe2Pd8
1.0
5.5234 0.0000 0.0000
0.0000 5.5234 0.0000
0.0000 0.0000 8.3320
Ba Ge Pd
1 2 8
Direct
0.0000 0.0000 0.0000
0.0000 0.5000 0.5000
0.5000 0.0000 0.5000
0.2523 0.2523 0.3129
0.2523 0.2523 0.6871
0.2523 0.7477 0.3129
0.2523 0.7477 0.6871
0.7477 0.2523 0.3129
0.7477 0.2523 0.6871
0.7477 0.7477 0.3129
0.7477 0.7477 0.6871
```

***

## Ba3Ge2Pd3 (PBE)

Data for Ba3Ge2Pd3 after structural relaxation.

## Properties
* magnetization: 0.000 μB/atom
* energy of formation: -0.66 eV per atom

Structure (POSCAR):
```
Ba3Ge2Pd3
1.0
8.3494 0.0000 0.0000
0.0000 15.8078 0.0000
0.0000 0.0000 6.6418
Ba Ge Pd
12 8 12
Direct
0.0084 0.1065 0.1433
0.0084 0.3935 0.1433
0.1463 0.2500 0.6215
0.3537 0.7500 0.1215
0.4916 0.6065 0.6433
0.4916 0.8935 0.6433
0.5084 0.1065 0.3567
0.5084 0.3935 0.3567
0.6463 0.2500 0.8785
0.8537 0.7500 0.3785
0.9916 0.6065 0.8567
0.9916 0.8935 0.8567
0.1518 0.5887 0.3649
0.1518 0.9113 0.3649
0.3482 0.0887 0.8649
0.3482 0.4113 0.8649
0.6518 0.5887 0.1351
0.6518 0.9113 0.1351
0.8482 0.0887 0.6351
0.8482 0.4113 0.6351
0.1409 0.0382 0.6087
0.1409 0.4618 0.6087
0.1974 0.7500 0.5431
0.3026 0.2500 0.0431
0.3591 0.5382 0.1087
0.3591 0.9618 0.1087
0.6409 0.0382 0.8913
0.6409 0.4618 0.8913
0.6974 0.7500 0.9569
0.8026 0.2500 0.4569
0.8591 0.5382 0.3913
0.8591 0.9618 0.3913
```

***

## Ba3Ge4Pd2 (PBE)

Data for Ba3Ge4Pd2 after structural relaxation.

## Properties
* magnetization: 0.000 μB/atom
* energy of formation: -0.65 eV per atom

Structure (POSCAR):
```
Ba3Ge4Pd2
1.0
6.3704 -2.1362 0.0000
6.3704 2.1362 0.0000
-0.9309 0.0000 9.1836
Ba Ge Pd
3 4 2
Direct
0.0000 0.0000 0.0000
0.3280 0.3280 0.3362
0.6720 0.6720 0.6638
0.0483 0.0483 0.3853
0.2761 0.2761 0.9330
0.7239 0.7239 0.0670
0.9517 0.9517 0.6147
0.3932 0.3932 0.7226
0.6068 0.6068 0.2774
```

***

## BaGe2Pd4 (PBE)

Data for BaGe2Pd4 after structural relaxation.

## Properties
* magnetization: 0.000 μB/atom
* offset from the most stable computed form: 0.0000 eV/atom
* energy of formation: -0.62 eV per atom

Structure (POSCAR):
```
BaGe2Pd4
1.0
18.2233 0.0000 0.0000
0.0000 4.1402 0.0000
0.0000 0.0000 7.3683
Ba Ge Pd
4 8 16
Direct
0.1078 0.2500 0.0333
0.3922 0.7500 0.5333
0.6078 0.2500 0.4667
0.8922 0.7500 0.9667
0.0507 0.7500 0.6884
0.2434 0.2500 0.5102
0.2566 0.7500 0.0102
0.4493 0.2500 0.1884
0.5507 0.7500 0.8116
0.7434 0.2500 0.9898
0.7566 0.7500 0.4898
0.9493 0.2500 0.3116
0.0325 0.7500 0.3467
0.1106 0.2500 0.5152
0.1959 0.7500 0.7034
0.2000 0.7500 0.3219
0.3000 0.2500 0.8219
0.3041 0.2500 0.2034
0.3894 0.7500 0.0152
0.4675 0.2500 0.8467
0.5325 0.7500 0.1533
0.6106 0.2500 0.9848
0.6959 0.7500 0.7966
0.7000 0.7500 0.1781
0.8000 0.2500 0.6781
0.8041 0.2500 0.2966
0.8894 0.7500 0.4848
0.9675 0.2500 0.6533
```